Ba6Bi2PN: relaxed, PBE-GGA.

## Properties
Space group: P2_1/c
Magnetic moment (μB/atom): 0.000
VASP energy (eV per atom): -4.13

Cell: 8.1355 8.3952 11.6872 Å, 90.00 90.17 90.00°
Last column: nearest neighbours and their distance in Å.
Fractional coordinates of all 20 atoms:
N 0.5000 0.0000 0.5000  6 Ba 2.84-2.88
N 0.0000 0.5000 0.0000  6 Ba 2.84-2.88
P 0.0000 0.5000 0.5000  6 Ba 3.15-3.17
P 0.5000 0.0000 0.0000  6 Ba 3.15-3.17
Ba 0.2157 0.1907 0.4602  1 N 2.85, 1 P 3.17
Ba 0.8111 0.7841 0.9587  1 N 2.88, 1 P 3.15
Ba 0.7843 0.8093 0.5398  1 N 2.85, 1 P 3.17
Ba 0.4241 0.9767 0.7364  1 N 2.84, 1 P 3.15
Ba 0.0759 0.4767 0.7636  1 N 2.84, 1 P 3.15
Ba 0.2843 0.6907 0.0398  1 N 2.85, 1 P 3.17
Ba 0.3111 0.7159 0.4587  1 N 2.88, 1 P 3.15
Ba 0.7157 0.3093 0.9602  1 N 2.85, 1 P 3.17
Ba 0.5759 0.0233 0.2636  1 N 2.84, 1 P 3.15
Ba 0.1889 0.2159 0.0413  1 N 2.88, 1 P 3.15
Ba 0.9241 0.5233 0.2364  1 N 2.84, 1 P 3.15
Ba 0.6889 0.2841 0.5413  1 N 2.88, 1 P 3.15
Bi 0.4858 0.4487 0.2504  6 Ba 3.58-3.95
Bi 0.5142 0.5513 0.7496  6 Ba 3.58-3.95
Bi 0.9858 0.0513 0.7504  6 Ba 3.58-3.95
Bi 0.0142 0.9487 0.2496  6 Ba 3.58-3.95